DFT (PBE-GGA) results for a relaxed structure of Ac6Tl3Pb.

a b c (Å): 8.111 10.120 10.120
angles (deg): 107.63 90.00 90.00
Element x y z (fractional)
Tl 0.341 0.476 0.524
Tl 0.445 0.994 0.727
Tl 0.945 0.006 0.273
Tl 0.841 0.524 0.476
Tl 0.445 0.273 0.006
Tl 0.945 0.727 0.994
Ac 0.236 0.490 0.875
Ac 0.598 0.682 0.772
Ac 0.736 0.875 0.490
Ac 0.598 0.228 0.318
Ac 0.743 0.298 0.702
Ac 0.760 0.037 0.963
Ac 0.243 0.702 0.298
Ac 0.098 0.318 0.228
Ac 0.260 0.963 0.037
Ac 0.736 0.510 0.125
Ac 0.236 0.125 0.510
Ac 0.098 0.772 0.682
Pb 0.584 0.837 0.163
Pb 0.084 0.163 0.837

Summary:
**Calculated total energy**: -75.43 eV for the cell shown
**Fermi-level density of states**: 1.072 states/eV per atom
**Total magnetization**: 0.00 μB per formula unit
**V**: 396 Å³/f.u.
**ΔE_f**: -226 meV per atom